! PBE+U NaMnP2O8, relaxed; values from VASP
! Raw total energy = -80.60 eV for the cell shown
! Space group = P-3
! Size of the total moment = 4.1 μB/f.u.
! Mass density = 3.01 Mg/m³
&SYSTEM
  ibrav = 0, nat = 12, ntyp = 4
/
ATOMIC_SPECIES
O 16.00 O.upf
P 30.97 P.upf
Mn 54.94 Mn.upf
Na 22.99 Na.upf
ATOMIC_POSITIONS angstrom
O -0.6352 -3.1151 2.7981
P 2.7755 -3.9082 4.0070
Mn 0.0000 0.0000 0.0000
O 2.2777 -3.4967 2.6093
P -1.1329 -2.7036 1.4004
O -0.3394 -3.5306 0.3534
O -2.6515 -3.0176 1.3278
Na 1.1650 -0.9631 3.2711
O 2.5092 -5.4283 4.1753
O 4.2941 -3.5943 4.0796
O -0.8666 -1.1836 1.2321
O 1.9820 -3.0813 5.0541
CELL_PARAMETERS angstrom
-4.2900 -2.1202 0.9036
3.6026 -2.5654 -2.0384
2.3299 -1.9262 6.5422